# 1
# In2SiHg

In2SiHg after structural relaxation (GGA-PBE, the Alexandria database).

The structure in extended XYZ format:
```
4
Lattice="-1.6124 -3.7343 0.8734 3.0413 -1.0804 0.9953 0.5086 1.3900 6.8824" Properties=species:S:1:pos:R:3 pbc="T T T"
Si 0.0813 -1.7898 2.4061
In 1.7341 0.1409 3.8040
In 0.0409 0.0139 0.1348
Hg 1.8562 -1.6350 6.3449
```

Properties
The space group is P2/m (10). For the density of states at the Fermi level, the calculation gives 0.37 states/eV per atom. The value obtained for the energy relative to the elements, uncorrected is 0.2658 eV per atom.


# 2
# LiGeTe2

LiGeTe2 after structural relaxation (GGA-PBE, the Alexandria database).

The structure in extended XYZ format:
```
8
Lattice="-4.7803 3.8347 -1.6673 -4.1286 -4.7299 0.9585 -5.1372 1.4115 5.8788" Properties=species:S:1:pos:R:3 pbc="T T T"
Li -4.4545 -0.4476 -0.3544
Li -6.8601 -1.8830 3.2414
Te -4.4417 -2.1404 1.8675
Te -4.8086 2.1747 0.5403
Te -11.6659 0.2550 3.7930
Te -7.1761 0.7431 4.1392
Ge 0.0000 0.0000 0.0000
Ge -7.1860 2.3993 1.9285
```

Properties
The space group is I-42d (122). For the density of states at the Fermi level, the calculation gives 0.98 states/eV per atom. The value obtained for the energy relative to the elements, uncorrected is -0.3094 eV per atom.


# 3
# ZnNiHRh2

ZnNiHRh2 after structural relaxation (GGA-PBE, the Alexandria database).

The structure in extended XYZ format:
```
5
Lattice="3.8757 0.0000 0.0000 0.0000 3.8757 0.0000 0.0000 0.0000 3.7454" Properties=species:S:1:pos:R:3 pbc="T T T"
Rh 1.9379 0.0000 0.0000
Rh 0.0000 1.9379 0.0000
Ni 1.9379 1.9379 1.8727
Zn 0.0000 0.0000 1.8727
H 0.0000 0.0000 0.0000
```

Properties
The space group is P4/mmm (123). As for the offset from the most stable computed form: 0.66 eV per formula unit. For the density of states at the Fermi level, the calculation gives 0.91 states/eV per atom.